No. 1
DFT (PBE) results for a relaxed YTaTc2 crystal.

Unit cell a=4.503 b=4.503 c=5.808 alpha=101.96 beta=101.96 gamma=41.71
Sites, in units of the cell vectors:
Y1 0.000 0.000 0.000
Ta1 0.500 0.500 0.500
Tc1 0.237 0.237 0.704
Tc2 0.763 0.763 0.296

Results
- Formation energy: 0.68 eV/f.u.
- Total DFT energy (no corrections): -9.59 eV per atom



No. 2
DFT (PBE) results for a relaxed MgRe2Te crystal.

Unit cell a=6.166 b=6.166 c=6.166 alpha=100.20 beta=100.20 gamma=130.23
Sites, in units of the cell vectors:
Mg1 0.000 0.000 0.000
Mg2 0.750 0.250 0.500
Re1 0.179 0.625 0.054
Re2 0.375 0.429 0.554
Re3 0.571 0.125 0.946
Re4 0.875 0.821 0.446
Te1 0.250 0.750 0.500
Te2 0.500 0.500 0.000

Results
- Polymorph energy (0 for the lowest one): 994 meV per atom
- E_form (uncorrected): 27.8 kcal/mol of atoms
- Total DFT energy (no corrections): -6.20 eV per atom



No. 3
DFT (PBE) results for a relaxed BaCaNd crystal.

Unit cell a=6.160 b=6.160 c=8.026 alpha=90.00 beta=90.00 gamma=60.01
Sites, in units of the cell vectors:
Ba1 0.000 0.000 0.000
Ba2 0.667 0.667 0.822
Ca1 0.333 0.333 0.187
Ca2 0.333 0.333 0.635
Nd1 0.002 0.002 0.468
Nd2 0.669 0.669 0.354

Results
- Polymorph energy (0 for the lowest one): 0 meV per atom
- Formation energy: 0.15 eV/f.u.
- Total DFT energy (no corrections): -2.85 eV per atom



No. 4
DFT (PBE) results for a relaxed CsAcHgCl6 crystal.

Unit cell a=7.354 b=7.354 c=15.306 alpha=90.00 beta=90.00 gamma=120.00
Sites, in units of the cell vectors:
Cs1 0.000 0.000 0.000
Cs2 0.000 0.000 0.500
Ac1 0.333 0.667 0.250
Ac2 0.667 0.333 0.750
Hg1 0.333 0.667 0.750
Hg2 0.667 0.333 0.250
Cl1 0.017 0.384 0.645
Cl2 0.017 0.633 0.855
Cl3 0.367 0.384 0.855
Cl4 0.367 0.983 0.645
Cl5 0.384 0.017 0.145
Cl6 0.384 0.367 0.355
Cl7 0.616 0.633 0.645
Cl8 0.616 0.983 0.855
Cl9 0.633 0.017 0.355
Cl10 0.633 0.616 0.145
Cl11 0.983 0.367 0.145
Cl12 0.983 0.616 0.355

Results
- E_form (uncorrected): -39.5 kcal/mol of atoms
- Total DFT energy (no corrections): -3.53 eV per atom



No. 5
DFT (PBE) results for a relaxed CePuBiN crystal.

Unit cell a=4.664 b=4.664 c=9.070 alpha=90.00 beta=90.00 gamma=90.00
Sites, in units of the cell vectors:
Ce1 0.250 0.750 0.000
Ce2 0.750 0.250 0.000
Pu1 0.250 0.250 0.329
Pu2 0.750 0.750 0.671
Bi1 0.250 0.250 0.696
Bi2 0.750 0.750 0.304
N1 0.250 0.250 0.090
N2 0.750 0.750 0.910

Results
- E_form (uncorrected): -22.2 kcal/mol of atoms
- Total DFT energy (no corrections): -9.08 eV per atom



No. 6
DFT (PBE) results for a relaxed Na2Ag3Cl6 crystal.

Unit cell a=6.842 b=6.842 c=7.071 alpha=102.03 beta=102.03 gamma=116.45
Sites, in units of the cell vectors:
Na1 0.171 0.829 0.000
Na2 0.829 0.171 0.000
Ag1 0.000 0.000 0.500
Ag2 0.334 0.666 0.500
Ag3 0.666 0.334 0.500
Cl1 0.039 0.389 0.740
Cl2 0.270 0.270 0.278
Cl3 0.389 0.039 0.740
Cl4 0.611 0.961 0.260
Cl5 0.730 0.730 0.722
Cl6 0.961 0.611 0.260

Results
- E_form (uncorrected): -20.6 kcal/mol of atoms
- Total DFT energy (no corrections): -2.92 eV per atom



No. 7
DFT (PBE) results for a relaxed TaTc2Pb crystal.

Unit cell a=4.632 b=4.632 c=4.632 alpha=60.00 beta=60.00 gamma=60.00
Sites, in units of the cell vectors:
Ta1 0.000 0.000 0.000
Tc1 0.500 0.500 0.500
Tc2 0.750 0.750 0.750
Pb1 0.250 0.250 0.250

Results
- Formation energy: 2.50 eV/f.u.
- Total DFT energy (no corrections): -8.45 eV per atom



No. 8
DFT (PBE) results for a relaxed Ba3Li2Au4 crystal.

Unit cell a=6.470 b=6.470 c=9.414 alpha=108.05 beta=108.05 gamma=43.73
Sites, in units of the cell vectors:
Ba1 0.000 0.000 0.000
Ba2 0.368 0.368 0.308
Ba3 0.632 0.632 0.692
Li1 0.320 0.320 0.656
Li2 0.680 0.680 0.344
Au1 0.100 0.100 0.411
Au2 0.281 0.281 0.928
Au3 0.719 0.719 0.072
Au4 0.900 0.900 0.589

Results
- Formation energy: -5.59 eV/f.u.
- Total DFT energy (no corrections): -3.14 eV per atom